First-principles (GGA-PBE) data for a relaxed PmSmDyAl crystal, as listed in Alexandria.

POSCAR file:
```
PmSmDyAl
1.0
-1.186 5.201 -0.982
-3.372 1.296 -4.046
-4.956 1.907 1.105
Pm Dy Sm Al
1 1 1 1
direct
0.000 0.000 0.000
0.250 0.250 0.250
0.500 0.500 0.500
0.750 0.750 0.750
```

- Symmetry: F-43m, No. 216
- ΔE_f: -0.2 eV/f.u.
- Magnetic moment: 0.0 μB per formula unit
- Density of states at the Fermi level: 6.89 states/eV per cell
- Crystal system: cubic